The following is a PBE calculation of an optimized crystal structure of Tb4PrNd2Tm, from Alexandria via LeMat-Bulk.

```
data_Tb4PrNd2Tm
_chemical_formula_sum 'Tb16 Pr4 Nd8 Tm4'
_cell_length_a 13.718
_cell_length_b 13.310
_cell_length_c 6.840
_cell_angle_alpha 90.00
_cell_angle_beta 119.90
_cell_angle_gamma 90.00
_space_group_name_H-M_alt 'C 1 2/c 1'
_space_group_IT_number 15
loop_
_space_group_symop_operation_xyz
'x,y,z'
'-x,-y,-z'
'-x,y,-z+1/2'
'x,-y,z+1/2'
'x+1/2,y+1/2,z'
'-x+1/2,-y+1/2,-z'
'-x+1/2,y+1/2,-z+1/2'
'x+1/2,-y+1/2,z+1/2'
loop_
_atom_site_label
_atom_site_fract_x
_atom_site_fract_y
_atom_site_fract_z
Tb1 0.001 0.243 0.001
Tb2 0.244 0.000 0.493
Pr1 0.250 0.250 0.000
Nd1 0.000 0.500 0.000
Nd2 0.250 0.250 0.500
Tm1 0.000 0.000 0.000
```

Results
Total energy in eV per atom: -4.260

The following is a PBE calculation of an optimized crystal structure of Tb2PrNd2Tm, from Alexandria via LeMat-Bulk.

```
data_Tb2PrNd2Tm
_chemical_formula_sum 'Tb4 Pr2 Nd4 Tm2'
_cell_length_a 7.076
_cell_length_b 5.703
_cell_length_c 9.887
_cell_angle_alpha 90.00
_cell_angle_beta 90.00
_cell_angle_gamma 90.00
_space_group_name_H-M_alt 'P m m a'
_space_group_IT_number 51
loop_
_space_group_symop_operation_xyz
'x,y,z'
'-x,-y,-z'
'-x+1/2,-y,z'
'x+1/2,y,-z'
'x+1/2,-y,-z'
'-x+1/2,y,z'
'-x,y,-z'
'x,-y,z'
loop_
_atom_site_label
_atom_site_fract_x
_atom_site_fract_y
_atom_site_fract_z
Tb1 0.250 0.000 0.163
Tb2 0.250 0.500 0.671
Pr1 0.250 0.500 0.345
Nd1 0.000 0.500 0.000
Nd2 0.250 0.000 0.822
Tm1 0.000 0.000 0.500
```

Results
Total energy in eV per atom: -4.614

The following is a PBE calculation of an optimized crystal structure of Tb2PrNd3Tm6, from Alexandria via LeMat-Bulk.

```
data_Tb2PrNd3Tm6
_chemical_formula_sum 'Tb4 Pr2 Nd6 Tm12'
_cell_length_a 6.193
_cell_length_b 10.723
_cell_length_c 11.713
_cell_angle_alpha 90.00
_cell_angle_beta 100.11
_cell_angle_gamma 90.00
_space_group_name_H-M_alt 'C 1 2/m 1'
_space_group_IT_number 12
loop_
_space_group_symop_operation_xyz
'x,y,z'
'-x,-y,-z'
'-x,y,-z'
'x,-y,z'
'x+1/2,y+1/2,z'
'-x+1/2,-y+1/2,-z'
'-x+1/2,y+1/2,-z'
'x+1/2,-y+1/2,z'
loop_
_atom_site_label
_atom_site_fract_x
_atom_site_fract_y
_atom_site_fract_z
Tb1 0.000 0.167 0.000
Pr1 0.000 0.500 0.000
Nd1 0.000 0.000 0.500
Nd2 0.000 0.333 0.500
Tm1 0.249 0.000 0.249
Tm2 0.250 0.167 0.751
```

Results
Total energy in eV per atom: -4.579

Values of E_form, in order: 404 61 19, all in meV/atom.